! PBE SrTaAg, relaxed; values from VASP
&SYSTEM
  ibrav = 0, nat = 12, ntyp = 3
/
ATOMIC_SPECIES
Sr 87.62 Sr.upf
Ag 107.87 Ag.upf
Ta 180.95 Ta.upf
CELL_PARAMETERS angstrom
7.160 0.000 0.000
0.000 4.752 0.000
0.000 0.000 9.369
ATOMIC_POSITIONS angstrom
Sr 0.645 1.188 7.884
Sr 2.936 3.564 3.200
Sr 6.516 3.564 1.484
Sr 4.225 1.188 6.169
Ag 5.127 1.188 3.057
Ag 5.613 3.564 7.741
Ag 2.033 3.564 6.311
Ag 1.547 1.188 1.627
Ta 0.366 1.188 4.300
Ta 3.214 3.564 8.984
Ta 6.795 3.564 5.069
Ta 3.946 1.188 0.384
! - Symmetry: No. 62
! - Final energy: -5.03 eV per atom
! - Energy above the lowest structure with this stoichiometry: 0.203 eV/atom



! PBE Zr4GaBi, relaxed; values from VASP
&SYSTEM
  ibrav = 0, nat = 12, ntyp = 3
/
ATOMIC_SPECIES
Zr 91.22 Zr.upf
Ga 69.72 Ga.upf
Bi 208.98 Bi.upf
CELL_PARAMETERS angstrom
5.634 0.000 0.000
0.000 6.982 0.577
-2.817 -2.259 7.105
ATOMIC_POSITIONS angstrom
Zr 0.621 -1.474 6.038
Zr 3.438 2.706 1.355
Zr 2.196 6.197 1.644
Zr -0.621 2.017 6.327
Zr 3.591 4.633 5.144
Zr 0.774 3.581 2.827
Zr -0.774 0.090 2.539
Zr 2.043 1.142 4.855
Ga 1.409 -1.130 3.552
Ga -1.409 2.361 3.841
Bi 4.997 5.236 0.433
Bi 0.638 1.745 0.144
! - Symmetry: No. 15
! - Final energy: -6.93 eV per atom
! - Energy above the lowest structure with this stoichiometry: 0.270 eV/atom



! PBE LuThMo4, relaxed; values from VASP
&SYSTEM
  ibrav = 0, nat = 6, ntyp = 3
/
ATOMIC_SPECIES
Mo 95.94 Mo.upf
Lu 174.97 Lu.upf
Th 232.04 Th.upf
CELL_PARAMETERS angstrom
5.541 0.000 0.000
2.770 4.798 0.000
2.770 1.599 4.524
ATOMIC_POSITIONS angstrom
Mo 5.541 3.199 0.568
Mo 5.541 1.602 2.827
Mo 6.924 3.997 2.827
Mo 4.157 3.997 2.827
Lu 0.000 0.000 0.000
Th 2.770 1.599 1.131
! - Symmetry: No. 216
! - Final energy: -9.16 eV per atom



! PBE YEr3Te6, relaxed; values from VASP
&SYSTEM
  ibrav = 0, nat = 20, ntyp = 3
/
ATOMIC_SPECIES
Y 88.91 Y.upf
Er 167.26 Er.upf
Te 127.60 Te.upf
CELL_PARAMETERS angstrom
4.330 0.000 0.000
0.000 11.724 -4.089
0.000 -0.037 12.732
ATOMIC_POSITIONS angstrom
Y 3.247 0.495 8.663
Y 1.082 11.191 -0.021
Er 3.247 5.031 8.853
Er 1.082 6.655 -0.211
Er 3.247 7.998 3.596
Er 1.082 3.688 5.047
Er 3.247 1.823 0.385
Er 1.082 9.863 8.257
Te 3.247 5.632 5.890
Te 1.082 6.054 2.753
Te 3.247 10.742 -2.477
Te 1.082 0.945 11.119
Te 3.247 4.602 -0.821
Te 1.082 7.084 9.463
Te 3.247 8.746 0.507
Te 1.082 2.940 8.136
Te 3.247 1.288 5.497
Te 1.082 10.399 3.145
Te 3.247 9.441 6.241
Te 1.082 2.245 2.401
! - Symmetry: No. 11
! - Final energy: -5.26 eV per atom
! - Energy above the lowest structure with this stoichiometry: 0.000 eV/atom
! - Uncorrected formation energy: -13.58 eV per formula unit



! PBE Th2Tl3Pb3, relaxed; values from VASP
&SYSTEM
  ibrav = 0, nat = 8, ntyp = 3
/
ATOMIC_SPECIES
Th 232.04 Th.upf
Tl 204.38 Tl.upf
Pb 207.20 Pb.upf
CELL_PARAMETERS angstrom
4.896 0.000 0.000
0.000 4.870 0.000
0.000 0.000 9.692
ATOMIC_POSITIONS angstrom
Th 0.000 0.000 7.268
Th 0.000 0.000 2.424
Tl 2.448 2.435 7.309
Tl 2.448 2.435 2.383
Tl 2.448 0.000 0.000
Pb 2.448 0.000 4.846
Pb 0.000 2.435 0.000
Pb 0.000 2.435 4.846
! - Symmetry: No. 47
! - Final energy: -4.33 eV per atom



! PBE Be2Cd, relaxed; values from VASP
&SYSTEM
  ibrav = 0, nat = 3, ntyp = 2
/
ATOMIC_SPECIES
Be 9.01 Be.upf
Cd 112.41 Cd.upf
CELL_PARAMETERS angstrom
-2.319 2.319 2.148
2.319 -2.319 2.148
2.319 2.319 -2.148
ATOMIC_POSITIONS angstrom
Be 2.319 0.000 1.074
Be 0.000 2.319 1.074
Cd 0.000 0.000 0.000
! - Symmetry: No. 139
! - Final energy: -2.11 eV per atom
! - Energy above the lowest structure with this stoichiometry: 0.454 eV/atom



! PBE MgAg6, relaxed; values from VASP
&SYSTEM
  ibrav = 0, nat = 7, ntyp = 2
/
ATOMIC_SPECIES
Mg 24.30 Mg.upf
Ag 107.87 Ag.upf
CELL_PARAMETERS angstrom
-1.263 3.489 2.845
2.176 0.580 4.097
4.767 5.367 -0.623
ATOMIC_POSITIONS angstrom
Mg 0.000 0.000 0.000
Ag 4.746 7.513 4.420
Ag 3.798 5.578 2.529
Ag 2.856 3.649 0.635
Ag 2.823 5.786 5.685
Ag 1.882 3.857 3.790
Ag 0.934 1.922 1.900
! - Symmetry: No. 166
! - Final energy: -2.72 eV per atom
! - Energy above the lowest structure with this stoichiometry: 0.000 eV/atom



! PBE Ce5As5Ir, relaxed; values from VASP
&SYSTEM
  ibrav = 0, nat = 11, ntyp = 3
/
ATOMIC_SPECIES
Ce 140.12 Ce.upf
As 74.92 As.upf
Ir 192.22 Ir.upf
CELL_PARAMETERS angstrom
5.872 0.000 0.000
-2.936 6.654 -0.050
0.000 -2.551 7.904
ATOMIC_POSITIONS angstrom
Ce 2.936 4.178 1.283
Ce 2.936 2.795 5.275
Ce 2.936 0.000 0.000
Ce 0.000 1.309 2.578
Ce 0.000 -0.075 6.570
As 2.936 1.577 2.591
As 2.936 0.138 6.644
As 0.000 -1.275 3.952
As 0.000 3.966 1.209
As 0.000 2.526 5.262
Ir 0.000 0.000 0.000
! - Symmetry: No. 12
! - Final energy: -6.60 eV per atom